[1]
# TlCrPt3

TlCrPt3 after structural relaxation (GGA-PBE, the Alexandria database).

Computed properties:
- DOS at the Fermi energy: 5.782 states/eV/f.u.
- Excess energy over the best structure of this formula in the dataset: 0.00 eV per formula unit

Unit cell a=4.684 b=4.684 c=4.684 alpha=90.00 beta=90.00 gamma=90.00
Space group Pm-3m (No. 221)
Inequivalent atoms, fractional coordinates:
Tl 0.000 0.000 0.000 (multiplicity 1)
Cr 0.500 0.500 0.500 (multiplicity 1)
Pt 0.000 0.500 0.500 (multiplicity 3)

[2]
# TlCrPt

TlCrPt after structural relaxation (GGA-PBE, the Alexandria database).

Computed properties:
- DOS at the Fermi energy: 2.439 states/eV/f.u.
- Excess energy over the best structure of this formula in the dataset: 0.00 eV per formula unit

Unit cell a=6.378 b=6.378 c=6.378 alpha=90.00 beta=90.00 gamma=90.00
Space group F-43m (No. 216)
Inequivalent atoms, fractional coordinates:
Tl 0.000 0.000 0.000 (multiplicity 4)
Cr 0.000 0.000 0.500 (multiplicity 4)
Pt 0.250 0.250 0.250 (multiplicity 4)

[3]
# Tl2CrPt

Tl2CrPt after structural relaxation (GGA-PBE, the Alexandria database).

Computed properties:
- DOS at the Fermi energy: 2.178 states/eV/f.u.
- Excess energy over the best structure of this formula in the dataset: 0.68 eV per formula unit

Unit cell a=3.607 b=3.618 c=6.222 alpha=90.00 beta=90.00 gamma=90.00
Space group Pmmm (No. 47)
Inequivalent atoms, fractional coordinates:
Tl 0.000 0.000 0.244 (multiplicity 2)
Cr 0.500 0.500 0.500 (multiplicity 1)
Pt 0.500 0.500 0.000 (multiplicity 1)

[4]
# Tl2CrPt

Tl2CrPt after structural relaxation (GGA-PBE, the Alexandria database).

Computed properties:
- DOS at the Fermi energy: 2.069 states/eV/f.u.
- Excess energy over the best structure of this formula in the dataset: 1.05 eV per formula unit

Unit cell a=7.791 b=7.791 c=5.934 alpha=90.00 beta=90.00 gamma=90.00
Space group I-42d (No. 122)
Inequivalent atoms, fractional coordinates:
Tl 0.235 0.250 0.125 (multiplicity 8)
Cr 0.000 0.000 0.500 (multiplicity 4)
Pt 0.000 0.000 0.000 (multiplicity 4)

[5]
# Tl2CrPt

Tl2CrPt after structural relaxation (GGA-PBE, the Alexandria database).

Computed properties:
- DOS at the Fermi energy: 2.420 states/eV/f.u.
- Excess energy over the best structure of this formula in the dataset: 0.72 eV per formula unit

Unit cell a=6.934 b=6.934 c=6.934 alpha=90.00 beta=90.00 gamma=90.00
Space group F-43m (No. 216)
Inequivalent atoms, fractional coordinates:
Tl 0.000 0.000 0.000 (multiplicity 4)
Tl 0.250 0.250 0.250 (multiplicity 4)
Cr 0.250 0.250 0.750 (multiplicity 4)
Pt 0.000 0.000 0.500 (multiplicity 4)

[6]
# TlCrPt2

TlCrPt2 after structural relaxation (GGA-PBE, the Alexandria database).

Computed properties:
- DOS at the Fermi energy: 3.493 states/eV/f.u.
- DFT total energy: -5.8814 eV/atom

Unit cell a=3.0047 b=3.0047 c=27.2936 alpha=90.00 beta=90.00 gamma=120.00
Space group R-3m (No. 166, hexagonal axes)
Inequivalent atoms, fractional coordinates:
Tl 0.0000 0.0000 0.0000 (multiplicity 3)
Cr 0.0000 0.0000 0.5000 (multiplicity 3)
Pt 0.0000 0.0000 0.2394 (multiplicity 6)

[7]
# TlCrPt2

TlCrPt2 after structural relaxation (GGA-PBE, the Alexandria database).

Computed properties:
- DOS at the Fermi energy: 2.878 states/eV/f.u.
- DFT total energy: -5.9447 eV/atom

Unit cell a=3.007 b=4.720 c=4.894 alpha=90.00 beta=90.00 gamma=90.00
Space group Pmm2 (No. 25)
Inequivalent atoms, fractional coordinates:
Tl 0.000 0.000 0.000 (multiplicity 1)
Cr 0.000 0.500 0.590 (multiplicity 1)
Pt 0.500 0.000 0.507 (multiplicity 1)
Pt 0.500 0.500 0.121 (multiplicity 1)

[8]
# Tl2CrPt

Tl2CrPt after structural relaxation (GGA-PBE, the Alexandria database).

Computed properties:
- DOS at the Fermi energy: 2.972 states/eV/f.u.
- Excess energy over the best structure of this formula in the dataset: 0.59 eV per formula unit

Unit cell a=3.3853 b=3.3853 c=26.5533 alpha=90.00 beta=90.00 gamma=120.00
Space group R3m (No. 160, hexagonal axes)
Inequivalent atoms, fractional coordinates:
Tl 0.0000 0.0000 0.0000 (multiplicity 3)
Tl 0.0000 0.0000 0.2306 (multiplicity 3)
Cr 0.0000 0.0000 0.7521 (multiplicity 3)
Pt 0.0000 0.0000 0.4773 (multiplicity 3)

[9]
# TlCrPt2

TlCrPt2 after structural relaxation (GGA-PBE, the Alexandria database).

Computed properties:
- DOS at the Fermi energy: 3.969 states/eV/f.u.
- DFT total energy: -5.8078 eV/atom

Unit cell a=2.980 b=2.980 c=7.558 alpha=90.00 beta=90.00 gamma=90.00
Space group P4mm (No. 99)
Inequivalent atoms, fractional coordinates:
Tl 0.000 0.000 0.000 (multiplicity 1)
Cr 0.500 0.500 0.274 (multiplicity 1)
Pt 0.000 0.000 0.467 (multiplicity 1)
Pt 0.500 0.500 0.725 (multiplicity 1)

[10]
# TlCrPt2

TlCrPt2 after structural relaxation (GGA-PBE, the Alexandria database).

Computed properties:
- DOS at the Fermi energy: 2.888 states/eV/f.u.
- DFT total energy: -6.0514 eV/atom

Unit cell a=2.942 b=3.362 c=7.209 alpha=90.00 beta=96.90 gamma=90.00
Space group P2/m (No. 10)
Inequivalent atoms, fractional coordinates:
Tl 0.000 0.000 0.000 (multiplicity 1)
Cr 0.000 0.000 0.500 (multiplicity 1)
Pt 0.430 0.500 0.299 (multiplicity 2)

[11]
# TlCrPt2

TlCrPt2 after structural relaxation (GGA-PBE, the Alexandria database).

Computed properties:
- DOS at the Fermi energy: 2.957 states/eV/f.u.
- DFT total energy: -6.0256 eV/atom

Unit cell a=4.154 b=4.154 c=3.974 alpha=90.00 beta=90.00 gamma=90.00
Space group P4/mmm (No. 123)
Inequivalent atoms, fractional coordinates:
Tl 0.000 0.000 0.000 (multiplicity 1)
Cr 0.500 0.500 0.000 (multiplicity 1)
Pt 0.000 0.500 0.500 (multiplicity 2)

[12]
# TlCrPt2

TlCrPt2 after structural relaxation (GGA-PBE, the Alexandria database).

Computed properties:
- DOS at the Fermi energy: 4.161 states/eV/f.u.
- DFT total energy: -5.7828 eV/atom

Unit cell a=7.334 b=7.334 c=5.569 alpha=90.00 beta=90.00 gamma=90.00
Space group I-42d (No. 122)
Inequivalent atoms, fractional coordinates:
Tl 0.000 0.000 0.000 (multiplicity 4)
Cr 0.000 0.000 0.500 (multiplicity 4)
Pt 0.220 0.250 0.625 (multiplicity 8)

[13]
# Tl2CrPt

Tl2CrPt after structural relaxation (GGA-PBE, the Alexandria database).

Computed properties:
- DOS at the Fermi energy: 3.133 states/eV/f.u.
- Excess energy over the best structure of this formula in the dataset: 0.46 eV per formula unit

Unit cell a=3.280 b=4.670 c=11.214 alpha=90.00 beta=90.00 gamma=90.00
Space group Imm2 (No. 44)
Inequivalent atoms, fractional coordinates:
Tl 0.000 0.000 0.000 (multiplicity 2)
Tl 0.000 0.500 0.210 (multiplicity 2)
Cr 0.000 0.000 0.436 (multiplicity 2)
Pt 0.000 0.500 0.754 (multiplicity 2)

[14]
# TlCrPt2

TlCrPt2 after structural relaxation (GGA-PBE, the Alexandria database).

Computed properties:
- DOS at the Fermi energy: 3.980 states/eV/f.u.
- DFT total energy: -6.0219 eV/atom

Unit cell a=8.812 b=4.184 c=4.188 alpha=90.00 beta=118.25 gamma=90.00
Space group C2/m (No. 12)
Inequivalent atoms, fractional coordinates:
Tl 0.000 0.000 0.000 (multiplicity 2)
Cr 0.000 0.500 0.500 (multiplicity 2)
Pt 0.250 0.000 0.749 (multiplicity 4)

[15]
# Tl2CrPt

Tl2CrPt after structural relaxation (GGA-PBE, the Alexandria database).

Computed properties:
- DOS at the Fermi energy: 1.925 states/eV/f.u.
- Excess energy over the best structure of this formula in the dataset: 0.60 eV per formula unit

Unit cell a=4.369 b=4.369 c=4.212 alpha=90.00 beta=90.00 gamma=90.00
Space group P4/mmm (No. 123)
Inequivalent atoms, fractional coordinates:
Tl 0.000 0.500 0.000 (multiplicity 2)
Cr 0.000 0.000 0.500 (multiplicity 1)
Pt 0.500 0.500 0.500 (multiplicity 1)

[16]
# Tl2CrPt

Tl2CrPt after structural relaxation (GGA-PBE, the Alexandria database).

Computed properties:
- DOS at the Fermi energy: 1.577 states/eV/f.u.
- Excess energy over the best structure of this formula in the dataset: 0.95 eV per formula unit

Unit cell a=6.208 b=9.592 c=3.309 alpha=90.00 beta=121.08 gamma=90.00
Space group C2/m (No. 12)
Inequivalent atoms, fractional coordinates:
Tl 0.250 0.250 0.000 (multiplicity 4)
Cr 0.000 0.000 0.500 (multiplicity 2)
Pt 0.000 0.500 0.500 (multiplicity 2)

[17]
# TlCrPt2

TlCrPt2 after structural relaxation (GGA-PBE, the Alexandria database).

Computed properties:
- DOS at the Fermi energy: 2.244 states/eV/f.u.
- DFT total energy: -5.9235 eV/atom

Unit cell a=3.449 b=3.449 c=5.853 alpha=90.00 beta=90.00 gamma=90.00
Space group P4mm (No. 99)
Inequivalent atoms, fractional coordinates:
Tl 0.000 0.000 0.000 (multiplicity 1)
Cr 0.500 0.500 0.305 (multiplicity 1)
Pt 0.000 0.000 0.483 (multiplicity 1)
Pt 0.500 0.500 0.752 (multiplicity 1)

[18]
# TlCrPt3

TlCrPt3 after structural relaxation (GGA-PBE, the Alexandria database).

Computed properties:
- DOS at the Fermi energy: 11.078 states/eV/f.u.
- Excess energy over the best structure of this formula in the dataset: 5.84 eV per formula unit

Unit cell a=4.986 b=4.986 c=4.986 alpha=90.00 beta=90.00 gamma=90.00
Space group Pm-3m (No. 221)
Inequivalent atoms, fractional coordinates:
Tl 0.000 0.000 0.000 (multiplicity 1)
Cr 0.500 0.500 0.500 (multiplicity 1)
Pt 0.000 0.000 0.500 (multiplicity 3)

[19]
# Tl2CrPt

Tl2CrPt after structural relaxation (GGA-PBE, the Alexandria database).

Computed properties:
- DOS at the Fermi energy: 1.662 states/eV/f.u.
- Excess energy over the best structure of this formula in the dataset: 0.57 eV per formula unit

Unit cell a=4.215 b=4.215 c=9.160 alpha=90.00 beta=90.00 gamma=90.00
Space group I-4m2 (No. 119)
Inequivalent atoms, fractional coordinates:
Tl 0.000 0.000 0.000 (multiplicity 2)
Tl 0.000 0.500 0.250 (multiplicity 2)
Cr 0.000 0.500 0.750 (multiplicity 2)
Pt 0.000 0.000 0.500 (multiplicity 2)

[20]
# Tl3CrPt

Tl3CrPt after structural relaxation (GGA-PBE, the Alexandria database).

Computed properties:
- DOS at the Fermi energy: 2.299 states/eV/f.u.
- Excess energy over the best structure of this formula in the dataset: 0.00 eV per formula unit

Unit cell a=5.347 b=5.347 c=5.347 alpha=90.00 beta=90.00 gamma=90.00
Space group Pm-3m (No. 221)
Inequivalent atoms, fractional coordinates:
Tl 0.000 0.000 0.500 (multiplicity 3)
Cr 0.500 0.500 0.500 (multiplicity 1)
Pt 0.000 0.000 0.000 (multiplicity 1)

[21]
# TlCrPt

TlCrPt after structural relaxation (GGA-PBE, the Alexandria database).

Computed properties:
- DOS at the Fermi energy: 1.708 states/eV/f.u.
- Excess energy over the best structure of this formula in the dataset: 0.18 eV per formula unit

Unit cell a=2.945 b=2.945 c=11.876 alpha=90.00 beta=90.00 gamma=90.00
Space group I4mm (No. 107)
Inequivalent atoms, fractional coordinates:
Tl 0.000 0.000 0.000 (multiplicity 2)
Cr 0.000 0.000 0.324 (multiplicity 2)
Pt 0.000 0.000 0.696 (multiplicity 2)

[22]
# TlCrPt2

TlCrPt2 after structural relaxation (GGA-PBE, the Alexandria database).

Computed properties:
- DOS at the Fermi energy: 3.135 states/eV/f.u.
- DFT total energy: -6.0350 eV/atom

Unit cell a=3.155 b=3.155 c=7.019 alpha=90.00 beta=90.00 gamma=90.00
Space group P4/mmm (No. 123)
Inequivalent atoms, fractional coordinates:
Tl 0.000 0.000 0.000 (multiplicity 1)
Cr 0.000 0.000 0.500 (multiplicity 1)
Pt 0.500 0.500 0.296 (multiplicity 2)

[23]
# Tl2CrPt

Tl2CrPt after structural relaxation (GGA-PBE, the Alexandria database).

Computed properties:
- DOS at the Fermi energy: 1.447 states/eV/f.u.
- Excess energy over the best structure of this formula in the dataset: 0.94 eV per formula unit

Unit cell a=3.3545 b=3.3545 c=25.7119 alpha=90.00 beta=90.00 gamma=120.00
Space group R-3m (No. 166, hexagonal axes)
Inequivalent atoms, fractional coordinates:
Tl 0.0000 0.0000 0.2482 (multiplicity 6)
Cr 0.0000 0.0000 0.0000 (multiplicity 3)
Pt 0.0000 0.0000 0.5000 (multiplicity 3)

[24]
# Tl2CrPt

Tl2CrPt after structural relaxation (GGA-PBE, the Alexandria database).

Computed properties:
- DOS at the Fermi energy: 1.988 states/eV/f.u.
- Excess energy over the best structure of this formula in the dataset: 0.82 eV per formula unit

Unit cell a=3.269 b=4.743 c=5.416 alpha=90.00 beta=91.31 gamma=90.00
Space group P2/m (No. 10)
Inequivalent atoms, fractional coordinates:
Tl 0.228 0.000 0.251 (multiplicity 2)
Cr 0.500 0.500 0.000 (multiplicity 1)
Pt 0.000 0.500 0.500 (multiplicity 1)

[25]
# TlCr3Pt

TlCr3Pt after structural relaxation (GGA-PBE, the Alexandria database).

Computed properties:
- DOS at the Fermi energy: 7.944 states/eV/f.u.
- Excess energy over the best structure of this formula in the dataset: 0.00 eV per formula unit

Unit cell a=4.939 b=4.939 c=4.939 alpha=90.00 beta=90.00 gamma=90.00
Space group Pm-3m (No. 221)
Inequivalent atoms, fractional coordinates:
Tl 0.000 0.000 0.000 (multiplicity 1)
Cr 0.000 0.500 0.500 (multiplicity 3)
Pt 0.500 0.500 0.500 (multiplicity 1)

[26]
# TlCrPt2

TlCrPt2 after structural relaxation (GGA-PBE, the Alexandria database).

Computed properties:
- DOS at the Fermi energy: 2.146 states/eV/f.u.
- DFT total energy: -5.7201 eV/atom

Unit cell a=3.0395 b=3.0395 c=26.4859 alpha=90.00 beta=90.00 gamma=120.00
Space group R3m (No. 160, hexagonal axes)
Inequivalent atoms, fractional coordinates:
Tl 0.0000 0.0000 0.0000 (multiplicity 3)
Cr 0.0000 0.0000 0.2440 (multiplicity 3)
Pt 0.0000 0.0000 0.5054 (multiplicity 3)
Pt 0.0000 0.0000 0.7535 (multiplicity 3)

[27]
# TlCrPt2

TlCrPt2 after structural relaxation (GGA-PBE, the Alexandria database).

Computed properties:
- DOS at the Fermi energy: 4.350 states/eV/f.u.
- DFT total energy: -5.9816 eV/atom

Unit cell a=4.051 b=4.063 c=8.281 alpha=90.00 beta=90.00 gamma=90.00
Space group Imm2 (No. 44)
Inequivalent atoms, fractional coordinates:
Tl 0.000 0.000 0.000 (multiplicity 2)
Cr 0.000 0.500 0.750 (multiplicity 2)
Pt 0.000 0.000 0.500 (multiplicity 2)
Pt 0.000 0.500 0.250 (multiplicity 2)

[28]
# Tl2CrPt

Tl2CrPt after structural relaxation (GGA-PBE, the Alexandria database).

Computed properties:
- DOS at the Fermi energy: 1.948 states/eV/f.u.
- Excess energy over the best structure of this formula in the dataset: 0.51 eV per formula unit

Unit cell a=6.831 b=6.831 c=6.831 alpha=90.00 beta=90.00 gamma=90.00
Space group Fm-3m (No. 225)
Inequivalent atoms, fractional coordinates:
Tl 0.250 0.250 0.250 (multiplicity 8)
Cr 0.000 0.000 0.000 (multiplicity 4)
Pt 0.000 0.000 0.500 (multiplicity 4)

[29]
# TlVCrPt2

TlVCrPt2 after structural relaxation (GGA-PBE, the Alexandria database).

Computed properties:
- DOS at the Fermi energy: 4.626 states/eV/f.u.
- DFT total energy: -5.9483 eV/atom

Unit cell a=4.774 b=4.774 c=4.454 alpha=90.00 beta=90.00 gamma=90.00
Space group P4/mmm (No. 123)
Inequivalent atoms, fractional coordinates:
Tl 0.000 0.000 0.000 (multiplicity 1)
V 0.500 0.500 0.500 (multiplicity 1)
Cr 0.500 0.500 0.000 (multiplicity 1)
Pt 0.000 0.500 0.500 (multiplicity 2)

[30]
# TlCrPt2W

TlCrPt2W after structural relaxation (GGA-PBE, the Alexandria database).

Computed properties:
- DOS at the Fermi energy: 4.315 states/eV/f.u.
- DFT total energy: -6.3949 eV/atom

Unit cell a=4.941 b=4.941 c=4.760 alpha=90.00 beta=90.00 gamma=90.00
Space group P4/mmm (No. 123)
Inequivalent atoms, fractional coordinates:
Tl 0.000 0.000 0.000 (multiplicity 1)
Cr 0.500 0.500 0.000 (multiplicity 1)
Pt 0.000 0.500 0.500 (multiplicity 2)
W 0.500 0.500 0.500 (multiplicity 1)